Density functional theory data (PBE) for a relaxed structure of Mn2NiW.

**ΔH_f (0 K)**: 0.03 eV per atom
**Total DFT energy (no corrections)**: -36.95 eV/cell
**V**: 12.189 Å³ per atom

a = 3.7010 Å, b = 3.7010 Å, c = 3.5595 Å
α = 90.00°, β = 90.00°, γ = 90.00°
Last column: nearest neighbours and their distance in Å.
Fractional coordinates of all 4 atoms:
Ni (0.5000, 0.0000, 0.5000)  8 Mn 2.57, 4 W 2.62
Mn (0.5000, 0.5000, 0.0000)  4 W 2.57, 4 Ni 2.57, 4 Mn 2.62
Mn (0.0000, 0.0000, 0.0000)  4 W 2.57, 4 Ni 2.57, 4 Mn 2.62
W (0.0000, 0.5000, 0.5000)  8 Mn 2.57, 4 Ni 2.62